CsSr3Pt, relaxed, DFT PBE; crystal system = cubic; energy above the lowest structure with this stoichiometry = 1636 meV/atom; Fermi-level density of states = 1.527 states/eV per atom
1.0
-2.729 -4.914 2.018
5.161 -2.989 -0.300
1.257 1.608 5.613
Cs Pt Sr
1 1 3
direct
0.000 0.000 0.000
0.500 0.500 0.500
0.000 0.000 0.500
0.500 0.000 0.000
0.000 0.500 0.000

CsSr2Pt, relaxed, DFT PBE; crystal system = cubic; energy above the lowest structure with this stoichiometry = 169 meV/atom; Fermi-level density of states = 0.996 states/eV per atom
1.0
-5.090 -2.742 0.501
-1.531 -2.372 5.070
-4.272 2.363 3.137
Cs Sr Pt
1 2 1
direct
0.000 0.000 0.000
0.750 0.750 0.750
0.250 0.250 0.250
0.500 0.500 0.500